1.
Entry from Alexandria: a geometry-optimized Ac3Cu5Se12 structure (PBE-GGA).

Computed properties:
**Raw formation energy**: -0.67 eV/atom
**E_tot**: -351.965 eV for the cell shown

a = 13.865 Å, b = 13.865 Å, c = 13.865 Å
α = 109.47°, β = 109.47°, γ = 109.47°
Atoms (fractional coordinates):
Se1 0.414 0.113 0.592
Se2 0.198 0.521 0.613
Se3 0.086 0.908 0.387
Se4 0.092 0.914 0.113
Se5 0.521 0.322 0.908
Se6 0.908 0.822 0.521
Se7 0.198 0.678 0.086
Se8 0.178 0.086 0.698
Se9 0.408 0.021 0.322
Se10 0.408 0.387 0.586
Se11 0.979 0.387 0.302
Se12 0.887 0.586 0.908
Se13 0.592 0.613 0.414
Se14 0.387 0.979 0.802
Se15 0.113 0.414 0.092
Se16 0.021 0.613 0.698
Se17 0.914 0.092 0.613
Se18 0.822 0.914 0.302
Se19 0.479 0.678 0.092
Se20 0.914 0.822 0.802
Se21 0.802 0.479 0.387
Se22 0.979 0.592 0.178
Se23 0.092 0.178 0.479
Se24 0.479 0.802 0.887
Se25 0.592 0.979 0.678
Se26 0.178 0.092 0.979
Se27 0.586 0.698 0.678
Se28 0.698 0.586 0.178
Se29 0.678 0.479 0.592
Se30 0.613 0.592 0.914
Se31 0.908 0.086 0.887
Se32 0.698 0.113 0.021
Se33 0.113 0.698 0.521
Se34 0.322 0.802 0.414
Se35 0.302 0.414 0.822
Se36 0.887 0.302 0.479
Se37 0.586 0.887 0.408
Se38 0.086 0.178 0.198
Se39 0.322 0.521 0.408
Se40 0.822 0.908 0.021
Se41 0.414 0.302 0.322
Se42 0.613 0.021 0.198
Se43 0.802 0.322 0.914
Se44 0.678 0.198 0.586
Se45 0.021 0.408 0.822
Se46 0.387 0.408 0.086
Se47 0.521 0.198 0.113
Se48 0.302 0.887 0.979
Ac1 0.875 0.750 0.125
Ac2 0.375 0.625 0.250
Ac3 0.750 0.375 0.125
Ac4 0.250 0.625 0.875
Ac5 0.125 0.875 0.750
Ac6 0.625 0.250 0.375
Ac7 0.625 0.375 0.750
Ac8 0.750 0.875 0.625
Ac9 0.875 0.125 0.250
Ac10 0.375 0.750 0.625
Ac11 0.250 0.125 0.375
Ac12 0.125 0.250 0.875
Cu1 0.500 0.500 0.500
Cu2 0.250 0.875 0.125
Cu3 0.500 0.500 0.000
Cu4 0.750 0.625 0.375
Cu5 0.875 0.250 0.625
Cu6 0.500 0.000 0.500
Cu7 0.375 0.250 0.125
Cu8 0.875 0.625 0.750
Cu9 0.125 0.375 0.250
Cu10 0.375 0.125 0.750
Cu11 0.000 0.000 0.000
Cu12 0.000 0.500 0.500
Cu13 0.625 0.875 0.250
Cu14 0.125 0.750 0.375
Cu15 0.500 0.000 0.000
Cu16 0.750 0.125 0.875
Cu17 0.250 0.375 0.625
Cu18 0.000 0.000 0.500
Cu19 0.000 0.500 0.000
Cu20 0.625 0.750 0.875

2.
Entry from Alexandria: a geometry-optimized SrCaTiNbO6 structure (PBE-GGA).

Computed properties:
**Raw formation energy**: -2.92 eV/atom
**E_tot**: -80.592 eV for the cell shown

a = 5.651 Å, b = 5.651 Å, c = 5.651 Å
α = 60.00°, β = 60.00°, γ = 60.00°
Atoms (fractional coordinates):
O1 0.747 0.253 0.253
O2 0.253 0.747 0.253
O3 0.253 0.253 0.747
O4 0.253 0.747 0.747
O5 0.747 0.747 0.253
O6 0.747 0.253 0.747
Nb1 0.000 0.000 0.000
Ti1 0.500 0.500 0.500
Sr1 0.250 0.250 0.250
Ca1 0.750 0.750 0.750

3.
Entry from Alexandria: a geometry-optimized Ho2Be3AgPt4 structure (PBE-GGA).

Computed properties:
**E_tot**: -55.360 eV for the cell shown
**ΔE_f**: -18.47 kcal/mol of atoms

a = 3.967 Å, b = 3.967 Å, c = 10.480 Å
α = 90.00°, β = 90.00°, γ = 90.00°
Atoms (fractional coordinates):
Be1 0.000 0.500 0.114
Be2 0.500 0.000 0.886
Be3 0.000 0.000 0.500
Ho1 0.000 0.500 0.763
Ho2 0.500 0.000 0.237
Pt1 0.500 0.500 0.000
Pt2 0.000 0.000 0.000
Pt3 0.000 0.500 0.329
Pt4 0.500 0.000 0.671
Ag1 0.500 0.500 0.500

4.
Entry from Alexandria: a geometry-optimized Co2SbIrAu structure (PBE-GGA).

Computed properties:
**Raw formation energy**: 1.01 eV/atom
**E_tot**: -25.435 eV for the cell shown

a = 4.683 Å, b = 4.921 Å, c = 4.683 Å
α = 90.00°, β = 90.00°, γ = 90.00°
Atoms (fractional coordinates):
Au1 0.500 0.500 0.500
Sb1 0.000 0.500 0.000
Ir1 0.000 0.000 0.000
Co1 0.000 0.000 0.500
Co2 0.500 0.000 0.000

5.
Entry from Alexandria: a geometry-optimized NbMo3W4 structure (PBE-GGA).

Computed properties:
**Offset from the most stable computed form**: 5.35 eV/f.u.
**E_tot**: -178.689 eV for the cell shown
**ΔE_f**: 14.50 kcal/mol of atoms

a = 5.404 Å, b = 9.874 Å, c = 5.163 Å
α = 90.00°, β = 90.00°, γ = 90.00°
Atoms (fractional coordinates):
Mo1 0.064 0.634 0.251
Mo2 0.564 0.366 0.751
Mo3 0.720 0.871 0.000
Mo4 0.064 0.634 0.749
Mo5 0.220 0.129 0.500
Mo6 0.564 0.366 0.249
W1 0.063 0.363 0.248
W2 0.563 0.637 0.252
W3 0.220 0.871 0.000
W4 0.563 0.637 0.748
W5 0.412 0.121 0.000
W6 0.720 0.129 0.500
W7 0.063 0.363 0.752
W8 0.912 0.879 0.500
Nb1 0.411 0.880 0.500
Nb2 0.911 0.120 0.000

6.
Entry from Alexandria: a geometry-optimized NaGeB3 structure (PBE-GGA).

Computed properties:
**Offset from the most stable computed form**: 5.30 eV/f.u.
**E_tot**: -12.160 eV for the cell shown
**ΔE_f**: 63.69 kcal/mol of atoms

a = 4.409 Å, b = 4.409 Å, c = 4.409 Å
α = 90.00°, β = 90.00°, γ = 90.00°
Atoms (fractional coordinates):
Ge1 0.500 0.500 0.500
B1 0.500 0.000 0.000
B2 0.000 0.000 0.500
B3 0.000 0.500 0.000
Na1 0.000 0.000 0.000

7.
Entry from Alexandria: a geometry-optimized Al5Hg4 structure (PBE-GGA).

Computed properties:
**Offset from the most stable computed form**: 0.00 eV/f.u.
**E_tot**: -18.250 eV for the cell shown
**ΔE_f**: 4.28 kcal/mol of atoms

a = 6.779 Å, b = 6.779 Å, c = 6.779 Å
α = 96.07°, β = 96.07°, γ = 142.03°
Atoms (fractional coordinates):
Hg1 0.317 0.000 0.317
Hg2 0.683 0.000 0.683
Hg3 0.000 0.683 0.683
Hg4 0.000 0.317 0.317
Al1 0.339 0.339 0.678
Al2 0.000 0.000 0.000
Al3 0.661 0.661 0.322
Al4 0.339 0.661 0.000
Al5 0.661 0.339 0.000

8.
Entry from Alexandria: a geometry-optimized PmNdSnRh structure (PBE-GGA).

Computed properties:
**Offset from the most stable computed form**: 0.00 eV/f.u.
**E_tot**: -23.647 eV for the cell shown
**ΔE_f**: -16.00 kcal/mol of atoms

a = 4.427 Å, b = 4.266 Å, c = 6.029 Å
α = 90.00°, β = 111.54°, γ = 90.00°
Atoms (fractional coordinates):
Nd1 0.155 0.000 0.311
Rh1 0.411 0.000 0.821
Sn1 0.571 0.500 0.143
Pm1 0.863 0.500 0.726

9.
Entry from Alexandria: a geometry-optimized Ba2MgNpS5 structure (PBE-GGA).

Computed properties:
**Raw formation energy**: -1.68 eV/atom
**E_tot**: -108.287 eV for the cell shown

a = 4.200 Å, b = 9.175 Å, c = 13.025 Å
α = 90.00°, β = 90.00°, γ = 103.23°
Atoms (fractional coordinates):
Ba1 0.894 0.787 0.184
Ba2 0.106 0.213 0.684
Ba3 0.128 0.256 0.312
Ba4 0.872 0.744 0.812
S1 0.691 0.381 0.883
S2 0.058 0.117 0.046
S3 0.942 0.883 0.546
S4 0.356 0.711 0.002
S5 0.502 0.005 0.280
S6 0.644 0.289 0.502
S7 0.715 0.429 0.151
S8 0.309 0.619 0.383
S9 0.498 0.995 0.780
S10 0.285 0.571 0.651
Np1 0.791 0.583 0.518
Np2 0.209 0.417 0.018
Mg1 0.551 0.102 0.948
Mg2 0.449 0.898 0.448

10.
Entry from Alexandria: a geometry-optimized SmErSc2S4 structure (PBE-GGA).

Computed properties:
**Raw formation energy**: -1.91 eV/atom
**E_tot**: -53.751 eV for the cell shown

a = 3.782 Å, b = 6.647 Å, c = 6.620 Å
α = 70.95°, β = 90.00°, γ = 90.00°
Atoms (fractional coordinates):
S1 0.500 0.234 0.749
S2 0.000 0.229 0.263
S3 0.500 0.766 0.251
S4 0.000 0.771 0.737
Sm1 0.500 0.500 0.000
Er1 0.000 0.500 0.500
Sc1 0.500 0.000 0.500
Sc2 0.000 0.000 0.000

11.
Entry from Alexandria: a geometry-optimized HfP2O2 structure (PBE-GGA).

Computed properties:
**Offset from the most stable computed form**: 1.58 eV/f.u.
**Raw formation energy**: -0.75 eV/atom
**E_tot**: -34.433 eV for the cell shown

a = 3.725 Å, b = 3.725 Å, c = 4.598 Å
α = 90.00°, β = 90.00°, γ = 90.00°
Atoms (fractional coordinates):
Hf1 0.500 0.500 0.500
P1 0.000 0.000 0.500
P2 0.000 0.000 0.000
O1 0.000 0.500 0.000
O2 0.500 0.000 0.000

12.
Entry from Alexandria: a geometry-optimized CaCoP structure (PBE-GGA).

Computed properties:
**E_tot**: -12.894 eV for the cell shown
**ΔE_f**: 12.48 kcal/mol of atoms

a = 4.556 Å, b = 4.556 Å, c = 4.556 Å
α = 60.00°, β = 60.00°, γ = 60.00°
Atoms (fractional coordinates):
Ca1 0.750 0.750 0.750
Co1 0.000 0.000 0.000
P1 0.500 0.500 0.500